PBE+U BaFeF2, relaxed; E_tot = -18.58 eV/cell; ΔE to the lowest computed polymorph = 199 meV per atom; N(E_F) = 0.56 states/eV per cell; theoretical density = 5.214 g cm⁻³; calculated volume = 73.6 Å³ per cell
1.0
0.000 3.326 3.326
3.326 0.000 3.326
3.326 3.326 0.000
Ba Fe F
1 1 2
Cartesian
0.000 0.000 0.000
3.326 3.326 3.326
1.663 1.663 1.663
4.990 4.990 4.990